Compound: Th2ZnRhAu
Source: Alexandria
Functional: GGA-PBE
Structure: relaxed

Its calculated total energy is -60.04 eV per cell. The calculation puts the formation energy at -0.655 eV per atom.

The space group is P2_1/m (No. 11) and the conventional cell measures 7.7424, 4.0599 and 8.0726 Å, with angles of 90.00, 112.38 and 90.00 degrees. The inequivalent atoms are Th at (0.0125, 0.2500, 0.2097), Th at (0.3721, 0.7500, 0.6204), Zn at (0.3631, 0.2500, 0.9490), Rh at (0.1172, 0.2500, 0.6173) and Au at (0.3068, 0.7500, 0.1798).